VASP calculation (PBE+U) on crystalline Na2CrSnF6 at its relaxed geometry.

Cell lengths 5.7988, 5.8838, 6.0564 Å; angles 61.05, 89.72, 62.29 degrees
With the nearest neighbours (Å) after each atom.
Space group P1 (No. 1)
Symmetry-distinct sites (fractional):
Na: 0.0000 0.0000 0.0000 [1 per cell]  5 F 2.30-2.47
Na: 0.4928 0.0065 0.5069 [1 per cell]  5 F 2.23-2.50
Cr: 0.2038 0.5838 0.6346 [1 per cell]  4 F 2.05-2.07
Sn: 0.7166 0.5590 0.1577 [1 per cell]  6 F 2.33-2.49
F: 0.1193 0.4684 0.3863 [1 per cell]  1 Cr 2.07, 1 Na 2.29
F: 0.3112 0.7296 0.8420 [1 per cell]  1 Cr 2.06
F: 0.3864 0.7622 0.3698 [1 per cell]  1 Cr 2.05, 1 Na 2.26
F: 0.6063 0.0536 0.8424 [1 per cell]  2 Na 2.30-2.32, 1 Sn 2.33, 1 Cr 2.49
F: 0.8105 0.0653 0.3197 [1 per cell]  2 Na 2.23-2.33, 1 Sn 2.34, 1 Cr 2.38
F: 0.9569 0.4698 0.8521 [1 per cell]  1 Cr 2.06

Properties
Total magnetization: 4.000 Bohr magnetons per cell
Final energy: -50.65 eV/cell
Density: 3.58 g cm⁻³